No. 1
A plane-wave DFT calculation with GGA-PBE was carried out for an optimized crystal structure of TaSiAs2.

Structure (extended XYZ):
```
4
Lattice="0.000 3.253 3.253 3.253 0.000 3.253 3.253 3.253 0.000" Properties=species:S:1:pos:R:3 pbc="T T T"
Ta 0.000 0.000 0.000
Si 4.880 4.880 4.880
As 1.627 1.627 1.627
As 3.253 3.253 3.253
```

Computed properties:
DFT total energy in eV/atom: -6.19
Size of the total moment in μB per formula unit: 0.0

No. 2
A plane-wave DFT calculation with GGA-PBE was carried out for an optimized crystal structure of TaSiAs2.

Structure (extended XYZ):
```
4
Lattice="4.567 -1.593 0.000 4.567 1.593 0.000 -0.329 0.000 4.752" Properties=species:S:1:pos:R:3 pbc="T T T"
Ta 0.000 0.000 0.000
Si 4.403 0.000 2.376
As 2.294 0.000 3.668
As 6.512 0.000 1.085
```

Computed properties:
DFT total energy in eV/atom: -6.53
Size of the total moment in μB per formula unit: 0.0

No. 3
A plane-wave DFT calculation with GGA-PBE was carried out for an optimized crystal structure of Ta4SiAs.

Structure (extended XYZ):
```
6
Lattice="0.000 3.848 3.848 3.848 0.000 3.848 3.848 3.848 0.000" Properties=species:S:1:pos:R:3 pbc="T T T"
Ta 2.890 2.890 2.890
Ta 4.806 4.806 2.890
Ta 4.806 2.890 4.806
Ta 2.890 4.806 4.806
Si 5.772 5.772 5.772
As 0.000 0.000 0.000
```

Computed properties:
DFT total energy in eV/atom: -9.00
Size of the total moment in μB per formula unit: 0.0

No. 4
A plane-wave DFT calculation with GGA-PBE was carried out for an optimized crystal structure of TaSi2As.

Structure (extended XYZ):
```
4
Lattice="-1.662 2.253 4.125 1.662 -2.253 4.125 1.662 2.253 -4.125" Properties=species:S:1:pos:R:3 pbc="T T T"
Ta 0.000 0.000 0.000
Si 1.662 0.000 2.176
Si 0.000 2.253 1.949
As 0.000 0.000 4.125
```

Computed properties:
DFT total energy in eV/atom: -6.76
Size of the total moment in μB per formula unit: 0.0

No. 5
A plane-wave DFT calculation with GGA-PBE was carried out for an optimized crystal structure of Ta2SiAs.

Structure (extended XYZ):
```
8
Lattice="-2.879 2.879 5.807 2.879 -2.879 5.807 2.879 2.879 -5.807" Properties=species:S:1:pos:R:3 pbc="T T T"
Ta 4.319 1.391 -1.452
Ta 1.391 1.440 1.452
Ta -1.440 1.488 4.355
Ta 1.488 1.440 7.258
Si 0.000 0.000 0.000
Si 0.000 2.879 2.903
As 2.879 0.000 2.903
As 0.000 0.000 5.807
```

Computed properties:
DFT total energy in eV/atom: -7.72
Size of the total moment in μB per formula unit: 0.0

No. 6
A plane-wave DFT calculation with GGA-PBE was carried out for an optimized crystal structure of TaSi2As.

Structure (extended XYZ):
```
4
Lattice="2.934 0.000 0.000 0.000 2.934 0.000 0.000 0.000 7.541" Properties=species:S:1:pos:R:3 pbc="T T T"
Ta 0.000 0.000 0.000
Si 1.467 1.467 1.839
Si 1.467 1.467 5.702
As 0.000 0.000 3.770
```

Computed properties:
DFT total energy in eV/atom: -6.59
Size of the total moment in μB per formula unit: 0.0

No. 7
A plane-wave DFT calculation with GGA-PBE was carried out for an optimized crystal structure of Ta2SiAs.

Structure (extended XYZ):
```
4
Lattice="0.000 3.191 3.191 3.191 0.000 3.191 3.191 3.191 0.000" Properties=species:S:1:pos:R:3 pbc="T T T"
Ta 1.595 1.595 1.595
Ta 4.786 4.786 4.786
Si 0.000 0.000 0.000
As 3.191 3.191 3.191
```

Computed properties:
DFT total energy in eV/atom: -8.59
Size of the total moment in μB per formula unit: 0.0

No. 8
A plane-wave DFT calculation with GGA-PBE was carried out for an optimized crystal structure of TaSiAs2.

Structure (extended XYZ):
```
4
Lattice="4.506 0.000 0.000 0.000 1.730 4.563 0.000 -1.730 4.563" Properties=species:S:1:pos:R:3 pbc="T T T"
Ta 0.000 0.000 0.000
Si 2.253 0.000 3.848
As 0.000 0.000 6.545
As 2.253 0.000 1.345
```

Computed properties:
DFT total energy in eV/atom: -6.67
Size of the total moment in μB per formula unit: 0.0

Energy relative to the elements, uncorrected: 1.8 0.5 3.5 0.3 2.9 1.0 -0.6 -0.1 (eV/f.u.)